#a
DFT (PBE) results for crystalline Tb4Zn3Pt at its relaxed geometry. Values from VASP.

Structure (Quantum ESPRESSO input):
```
&SYSTEM
  ibrav = 0, nat = 8, ntyp = 3
/
ATOMIC_SPECIES
Tb 158.93 Tb.upf
Zn 65.41 Zn.upf
Pt 195.08 Pt.upf
ATOMIC_POSITIONS crystal
Tb 0.000 0.000 0.000
Tb 0.000 0.500 0.276
Tb 0.500 0.000 0.479
Tb 0.500 0.500 0.784
Zn 0.000 0.000 0.706
Zn 0.000 0.500 0.561
Zn 0.500 0.500 0.060
Pt 0.500 0.000 0.210
CELL_PARAMETERS angstrom
3.749 0.000 0.000
0.000 4.549 0.000
0.000 0.000 10.979
```

Computed properties:
N(E_F) = 1.09 states/eV per atom



#b
DFT (PBE) results for crystalline Tb4Zn3Pt at its relaxed geometry. Values from VASP.

Structure (Quantum ESPRESSO input):
```
&SYSTEM
  ibrav = 0, nat = 8, ntyp = 3
/
ATOMIC_SPECIES
Tb 158.93 Tb.upf
Zn 65.41 Zn.upf
Pt 195.08 Pt.upf
ATOMIC_POSITIONS crystal
Tb 0.000 0.000 0.119
Tb 0.000 0.000 0.373
Tb 0.000 0.000 0.627
Tb 0.000 0.000 0.881
Zn 0.500 0.500 0.250
Zn 0.500 0.500 0.500
Zn 0.500 0.500 0.750
Pt 0.500 0.500 0.000
CELL_PARAMETERS angstrom
3.586 0.000 0.000
0.000 3.586 0.000
0.000 0.000 14.065
```

Computed properties:
N(E_F) = 0.79 states/eV per atom



Which of them is the most stable, and which is the least stable? #b and #a, in that order.



#a
DFT (PBE) results for crystalline Tb2ZnPt3 at its relaxed geometry. Values from VASP.

Structure (Quantum ESPRESSO input):
```
&SYSTEM
  ibrav = 0, nat = 12, ntyp = 3
/
ATOMIC_SPECIES
Tb 158.93 Tb.upf
Zn 65.41 Zn.upf
Pt 195.08 Pt.upf
ATOMIC_POSITIONS crystal
Tb 0.247 0.753 0.753
Tb 0.250 0.250 0.250
Tb 0.750 0.750 0.750
Tb 0.753 0.247 0.247
Zn 0.333 0.333 0.667
Zn 0.667 0.667 0.333
Pt 0.171 0.171 0.829
Pt 0.173 0.654 0.346
Pt 0.346 0.827 0.173
Pt 0.654 0.173 0.827
Pt 0.827 0.346 0.654
Pt 0.829 0.829 0.171
CELL_PARAMETERS angstrom
0.000 4.489 7.692
3.557 0.000 7.692
3.557 4.489 0.000
```

Computed properties:
N(E_F) = 0.59 states/eV per atom



#b
DFT (PBE) results for crystalline Tb2ZnPt3 at its relaxed geometry. Values from VASP.

Structure (Quantum ESPRESSO input):
```
&SYSTEM
  ibrav = 0, nat = 24, ntyp = 3
/
ATOMIC_SPECIES
Tb 158.93 Tb.upf
Zn 65.41 Zn.upf
Pt 195.08 Pt.upf
ATOMIC_POSITIONS crystal
Tb 0.105 0.250 0.212
Tb 0.155 0.250 0.431
Tb 0.345 0.750 0.931
Tb 0.395 0.750 0.712
Tb 0.605 0.250 0.288
Tb 0.655 0.250 0.069
Tb 0.845 0.750 0.569
Tb 0.895 0.750 0.788
Zn 0.010 0.750 0.060
Zn 0.490 0.250 0.560
Zn 0.510 0.750 0.440
Zn 0.990 0.250 0.940
Pt 0.089 0.250 0.656
Pt 0.198 0.250 0.816
Pt 0.248 0.250 0.053
Pt 0.252 0.750 0.553
Pt 0.302 0.750 0.316
Pt 0.411 0.750 0.156
Pt 0.589 0.250 0.844
Pt 0.698 0.250 0.684
Pt 0.748 0.250 0.447
Pt 0.752 0.750 0.947
Pt 0.802 0.750 0.184
Pt 0.911 0.750 0.344
CELL_PARAMETERS angstrom
7.174 0.000 0.000
0.000 3.881 0.000
0.000 0.000 17.157
```

Computed properties:
N(E_F) = 0.31 states/eV per atom



Which of them is the most stable, and which is the least stable? #b and #a, in that order.



#a
DFT (PBE) results for crystalline TbZn9Pt2 at its relaxed geometry. Values from VASP.

Structure (Quantum ESPRESSO input):
```
&SYSTEM
  ibrav = 0, nat = 12, ntyp = 3
/
ATOMIC_SPECIES
Tb 158.93 Tb.upf
Zn 65.41 Zn.upf
Pt 195.08 Pt.upf
ATOMIC_POSITIONS crystal
Tb 0.000 0.000 0.000
Zn 0.000 0.500 0.000
Zn 0.182 0.365 0.500
Zn 0.182 0.818 0.500
Zn 0.365 0.182 0.500
Zn 0.500 0.000 0.000
Zn 0.500 0.500 0.000
Zn 0.635 0.818 0.500
Zn 0.818 0.182 0.500
Zn 0.818 0.635 0.500
Pt 0.333 0.667 0.000
Pt 0.667 0.333 0.000
CELL_PARAMETERS angstrom
8.756 0.000 0.000
-4.378 7.583 0.000
0.000 0.000 2.971
```

Computed properties:
N(E_F) = 0.39 states/eV per atom



#b
DFT (PBE) results for crystalline TbZn9Pt2 at its relaxed geometry. Values from VASP.

Structure (Quantum ESPRESSO input):
```
&SYSTEM
  ibrav = 0, nat = 24, ntyp = 3
/
ATOMIC_SPECIES
Tb 158.93 Tb.upf
Zn 65.41 Zn.upf
Pt 195.08 Pt.upf
ATOMIC_POSITIONS crystal
Tb 0.375 0.625 0.750
Tb 0.625 0.375 0.250
Zn 0.125 0.875 0.250
Zn 0.132 0.555 0.336
Zn 0.132 0.796 0.577
Zn 0.204 0.281 0.336
Zn 0.204 0.868 0.923
Zn 0.281 0.204 0.836
Zn 0.281 0.445 0.077
Zn 0.445 0.281 0.577
Zn 0.445 0.868 0.164
Zn 0.555 0.132 0.836
Zn 0.555 0.719 0.423
Zn 0.719 0.555 0.923
Zn 0.719 0.796 0.164
Zn 0.796 0.132 0.077
Zn 0.796 0.719 0.664
Zn 0.868 0.204 0.423
Zn 0.868 0.445 0.664
Zn 0.875 0.125 0.750
Pt 0.000 0.000 0.000
Pt 0.000 0.000 0.500
Pt 0.000 0.500 0.000
Pt 0.500 0.000 0.500
CELL_PARAMETERS angstrom
-5.292 5.292 3.461
5.292 -5.292 3.461
5.292 5.292 -3.461
```

Computed properties:
N(E_F) = 0.55 states/eV per atom



Which of them is the most stable, and which is the least stable? #b and #a, in that order.



#a
DFT (PBE) results for crystalline Tb2ZnPt4 at its relaxed geometry. Values from VASP.

Structure (Quantum ESPRESSO input):
```
&SYSTEM
  ibrav = 0, nat = 7, ntyp = 3
/
ATOMIC_SPECIES
Tb 158.93 Tb.upf
Zn 65.41 Zn.upf
Pt 195.08 Pt.upf
ATOMIC_POSITIONS crystal
Tb 0.250 0.250 0.250
Tb 0.750 0.750 0.750
Zn 0.000 0.000 0.000
Pt 0.282 0.282 0.718
Pt 0.283 0.717 0.283
Pt 0.717 0.283 0.717
Pt 0.718 0.718 0.282
CELL_PARAMETERS angstrom
0.000 4.367 4.376
3.919 0.000 4.376
3.919 4.367 0.000
```

Computed properties:
N(E_F) = 0.39 states/eV per atom



#b
DFT (PBE) results for crystalline Tb2ZnPt4 at its relaxed geometry. Values from VASP.

Structure (Quantum ESPRESSO input):
```
&SYSTEM
  ibrav = 0, nat = 7, ntyp = 3
/
ATOMIC_SPECIES
Tb 158.93 Tb.upf
Zn 65.41 Zn.upf
Pt 195.08 Pt.upf
ATOMIC_POSITIONS crystal
Tb 0.003 0.153 0.220
Tb 0.997 0.847 0.780
Zn 0.500 0.500 0.500
Pt 0.000 0.500 0.500
Pt 0.333 0.176 0.843
Pt 0.500 0.000 0.500
Pt 0.667 0.824 0.157
CELL_PARAMETERS angstrom
4.968 0.000 0.000
1.947 4.579 0.000
0.982 2.175 6.704
```

Computed properties:
N(E_F) = 0.38 states/eV per atom



Which of them is the most stable, and which is the least stable? #b and #a, in that order.